1.
This record from Alexandria describes an optimized crystal structure of KSb2Cl. The functional is GGA-PBE.

Electronic total energy: -3.176 eV per atom
Symmetry: F-43m, No. 216
Uncorrected formation energy: -1.51 eV/f.u.

a = 7.7347 Å, b = 7.7347 Å, c = 7.7347 Å
α = 90.00°, β = 90.00°, γ = 90.00°
With the nearest neighbours (Å) after each atom.
Sites, in units of the cell vectors:
K1 0.0000 0.0000 0.0000  4 Cl 3.35, 4 Sb 3.35
K2 0.0000 0.5000 0.5000  4 Cl 3.35, 4 Sb 3.35
K3 0.5000 0.0000 0.5000  4 Cl 3.35, 4 Sb 3.35
K4 0.5000 0.5000 0.0000  4 Cl 3.35, 4 Sb 3.35
Sb1 0.0000 0.0000 0.5000  4 Cl 3.35, 4 Sb 3.35
Sb2 0.0000 0.5000 0.0000  4 Cl 3.35, 4 Sb 3.35
Sb3 0.2500 0.2500 0.7500  4 K 3.35, 4 Sb 3.35
Sb4 0.2500 0.7500 0.2500  4 K 3.35, 4 Sb 3.35
Sb5 0.5000 0.0000 0.0000  4 Cl 3.35, 4 Sb 3.35
Sb6 0.5000 0.5000 0.5000  4 Cl 3.35, 4 Sb 3.35
Sb7 0.7500 0.2500 0.2500  4 K 3.35, 4 Sb 3.35
Sb8 0.7500 0.7500 0.7500  4 K 3.35, 4 Sb 3.35
Cl1 0.2500 0.2500 0.2500  4 K 3.35, 4 Sb 3.35
Cl2 0.2500 0.7500 0.7500  4 K 3.35, 4 Sb 3.35
Cl3 0.7500 0.2500 0.7500  4 K 3.35, 4 Sb 3.35
Cl4 0.7500 0.7500 0.2500  4 K 3.35, 4 Sb 3.35

***

2.
This record from Alexandria describes an optimized crystal structure of KSbCl2. The functional is GGA-PBE.

Electronic total energy: -3.053 eV per atom
Symmetry: Cm, No. 8
Uncorrected formation energy: -3.30 eV/f.u.

a = 11.4774 Å, b = 3.4704 Å, c = 5.6255 Å
α = 90.00°, β = 96.56°, γ = 90.00°
With the nearest neighbours (Å) after each atom.
Sites, in units of the cell vectors:
K1 0.0000 0.0000 0.0000  7 Cl 3.12-3.32, 2 K 3.47
K2 0.5000 0.5000 0.0000  7 Cl 3.12-3.32, 2 K 3.47
Sb1 0.2541 0.5000 0.4781  1 Cl 2.64
Sb2 0.7541 0.0000 0.4781  1 Cl 2.64
Cl1 0.0260 0.5000 0.5070  1 Sb 2.64
Cl2 0.2700 0.0000 0.9677  3 K 3.12-3.15, 4 Sb 3.24-3.38, 2 Cl 3.47
Cl3 0.5260 0.0000 0.5070  1 Sb 2.64
Cl4 0.7700 0.5000 0.9677  3 K 3.12-3.15, 4 Sb 3.24-3.38, 2 Cl 3.47

***

3.
This record from Alexandria describes an optimized crystal structure of KSb2Cl. The functional is GGA-PBE.

Electronic total energy: -3.444 eV per atom
Symmetry: I-42d, No. 122
Uncorrected formation energy: -2.59 eV/f.u.

a = 4.3438 Å, b = 4.3438 Å, c = 31.6606 Å
α = 90.00°, β = 90.00°, γ = 90.00°
With the nearest neighbours (Å) after each atom.
Sites, in units of the cell vectors:
K1 0.0000 0.0000 0.0000  4 Cl 3.07
K2 0.0000 0.5000 0.2500  4 Cl 3.07
K3 0.5000 0.0000 0.7500  4 Cl 3.07
K4 0.5000 0.5000 0.5000  4 Cl 3.07
Sb1 0.2079 0.2500 0.1250  2 Sb 2.82
Sb2 0.2500 0.7079 0.3750  2 Sb 2.82
Sb3 0.2500 0.7921 0.8750  2 Sb 2.82
Sb4 0.2921 0.2500 0.6250  2 Sb 2.82
Sb5 0.7079 0.7500 0.6250  2 Sb 2.82
Sb6 0.7500 0.2079 0.8750  2 Sb 2.82
Sb7 0.7500 0.2921 0.3750  2 Sb 2.82
Sb8 0.7921 0.7500 0.1250  2 Sb 2.82
Cl1 0.0000 0.0000 0.5000  4 K 3.07
Cl2 0.0000 0.5000 0.7500  4 K 3.07
Cl3 0.5000 0.0000 0.2500  4 K 3.07
Cl4 0.5000 0.5000 0.0000  4 K 3.07